P:
MnInTe3: optimized geometry, PBE.

Lattice parameters (Å, degrees): 7.2276 4.1342 11.0339 90.00 92.95 90.00
With the nearest neighbours (Å) after each atom.
Element x y z (fractional)
Mn 0.0570 0.2500 0.1699  6 Te 2.75-3.04
Mn 0.9430 0.7500 0.8301  6 Te 2.75-3.04
In 0.4986 0.7500 0.2500  4 Te 2.82-2.94
In 0.5014 0.2500 0.7500  4 Te 2.82-2.94
Te 0.1130 0.2500 0.7141  2 Mn 2.75, 1 In 2.82
Te 0.2226 0.7500 0.0451  3 Mn 2.79-3.04, 1 In 2.94
Te 0.3187 0.2500 0.3726  2 In 2.82, 1 Mn 2.85
Te 0.6813 0.7500 0.6274  2 In 2.82, 1 Mn 2.85
Te 0.7774 0.2500 0.9549  3 Mn 2.79-3.04, 1 In 2.94
Te 0.8870 0.7500 0.2859  2 Mn 2.75, 1 In 2.82

The total magnetization is 3.9 μB per formula unit.

=====

Q:
MnInTe3: optimized geometry, PBE.

Lattice parameters (Å, degrees): 7.2254 7.2254 10.6332 90.00 90.00 148.58
With the nearest neighbours (Å) after each atom.
Element x y z (fractional)
Mn 0.0000 0.0000 0.0000  6 Te 2.72
Mn 0.0000 0.0000 0.5000  6 Te 2.72
In 0.2516 0.7484 0.7500  3 Te 2.92-2.95
In 0.7484 0.2516 0.2500  3 Te 2.92-2.95
Te 0.0418 0.9582 0.7500  2 Mn 2.72, 1 In 2.92
Te 0.3651 0.6349 0.5161  2 Mn 2.72, 1 In 2.95
Te 0.3651 0.6349 0.9839  2 Mn 2.72, 1 In 2.95
Te 0.6349 0.3651 0.0161  2 Mn 2.72, 1 In 2.95
Te 0.6349 0.3651 0.4839  2 Mn 2.72, 1 In 2.95
Te 0.9582 0.0418 0.2500  2 Mn 2.72, 1 In 2.92

The total magnetization is 3.2 μB per formula unit.

=====

What are the relative energies? In meV per atom: P 0; Q 74.

=====

P:
MnInTe3: optimized geometry, PBE.

Lattice parameters (Å, degrees): 5.5901 5.5901 5.5901 90.00 90.00 90.00
With the nearest neighbours (Å) after each atom.
Element x y z (fractional)
Mn 0.0000 0.0000 0.0000  12 Te 3.95
In 0.5000 0.5000 0.5000  6 Te 2.80
Te 0.0000 0.5000 0.5000  2 In 2.80
Te 0.5000 0.0000 0.5000  2 In 2.80
Te 0.5000 0.5000 0.0000  2 In 2.80

The total magnetization is 0.8 μB per formula unit.

=====

Q:
MnInTe3: optimized geometry, PBE.

Lattice parameters (Å, degrees): 5.1470 5.1470 5.1470 90.00 90.00 90.00
With the nearest neighbours (Å) after each atom.
Element x y z (fractional)
Mn 0.0000 0.0000 0.0000  6 Te 2.57
In 0.5000 0.5000 0.5000  12 Te 3.64
Te 0.0000 0.0000 0.5000  2 Mn 2.57
Te 0.0000 0.5000 0.0000  2 Mn 2.57
Te 0.5000 0.0000 0.0000  2 Mn 2.57

The total magnetization is 0.0 μB per formula unit.

=====

What are the relative energies? In meV per atom: P 1011; Q 0.

=====

P:
MnIn3Te: optimized geometry, PBE.

Lattice parameters (Å, degrees): 5.9430 5.9430 5.9430 90.00 90.00 90.00
With the nearest neighbours (Å) after each atom.
Element x y z (fractional)
Mn 0.0000 0.0000 0.0000  12 In 4.20
In 0.0000 0.5000 0.5000  2 Te 2.97
In 0.5000 0.0000 0.5000  2 Te 2.97
In 0.5000 0.5000 0.0000  2 Te 2.97
Te 0.5000 0.5000 0.5000  6 In 2.97

The total magnetization is 4.5 μB per formula unit.

=====

Q:
MnIn3Te: optimized geometry, PBE.

Lattice parameters (Å, degrees): 5.2189 5.2189 5.2189 90.00 90.00 90.00
With the nearest neighbours (Å) after each atom.
Element x y z (fractional)
Mn 0.0000 0.0000 0.0000  6 In 2.61
In 0.0000 0.0000 0.5000  2 Mn 2.61
In 0.0000 0.5000 0.0000  2 Mn 2.61
In 0.5000 0.0000 0.0000  2 Mn 2.61
Te 0.5000 0.5000 0.5000  12 In 3.69

The total magnetization is 3.7 μB per formula unit.

=====

What are the relative energies? In meV per atom: P 677; Q 0.